No. 1
Computed, not measured: SiAgTe2N at its PBEsol-relaxed geometry at the SCAN level of DFT.

abc: 5.554 5.554 3.251
angles: 90.00 90.00 90.00
Space group P4/mmm (No. 123)
Asymmetric unit:
Si 0.000 0.000 0.000 (multiplicity 1)
Ag 0.500 0.500 0.500 (multiplicity 1)
Te 0.000 0.500 0.000 (multiplicity 2)
N 0.000 0.000 0.500 (multiplicity 1)

---

No. 2
Computed, not measured: Sr3AgN at its PBEsol-relaxed geometry at the SCAN level of DFT.

abc: 5.175 5.175 5.175
angles: 90.00 90.00 90.00
Space group Pm-3m (No. 221)
Asymmetric unit:
Sr 0.000 0.000 0.500 (multiplicity 3)
Ag 0.500 0.500 0.500 (multiplicity 1)
N 0.000 0.000 0.000 (multiplicity 1)

---

No. 3
Computed, not measured: SrTi2AgN at its PBEsol-relaxed geometry at the SCAN level of DFT.

abc: 5.228 5.228 4.036
angles: 90.00 90.00 90.00
Space group P4/mmm (No. 123)
Asymmetric unit:
Sr 0.000 0.000 0.000 (multiplicity 1)
Ti 0.000 0.500 0.500 (multiplicity 2)
Ag 0.500 0.500 0.500 (multiplicity 1)
N 0.500 0.500 0.000 (multiplicity 1)

---

Energy relative to the elements, uncorrected, record by record: 0.195; -0.470; 1.233 eV/atom
Final energy, record by record: -24.840; -21.967; -17.765 eV/atom